Entry 1:
Material: RbErGeTe3
Method: DFT, PBE
State: relaxed

Cell lengths 4.298, 9.491, 11.933 Å; angles 111.45, 90.00, 90.00 degrees
Element x y z (fractional)
Rb: 0.250 0.232 0.279
Rb: 0.750 0.768 0.721
Er: 0.250 0.634 0.158
Er: 0.750 0.366 0.842
Ge: 0.250 0.117 0.554
Ge: 0.750 0.883 0.446
Te: 0.750 0.885 0.220
Te: 0.250 0.115 0.780
Te: 0.250 0.675 0.428
Te: 0.750 0.325 0.572
Te: 0.750 0.391 0.104
Te: 0.250 0.609 0.896

Results
formation energy from raw total energies = -90.7 kJ per mole of atoms
crystal system = monoclinic

---

Entry 2:
Material: La3BiIr
Method: DFT, PBE
State: relaxed

Cell lengths 4.699, 8.685, 15.598 Å; angles 90.00, 90.00, 90.00 degrees
Element x y z (fractional)
La: 0.250 0.356 0.506
La: 0.750 0.808 0.214
La: 0.750 0.528 0.901
La: 0.750 0.028 0.599
La: 0.750 0.644 0.494
La: 0.250 0.972 0.401
La: 0.250 0.856 0.994
La: 0.750 0.308 0.286
La: 0.250 0.692 0.714
La: 0.250 0.192 0.786
La: 0.750 0.144 0.006
La: 0.250 0.472 0.099
Bi: 0.750 0.911 0.821
Bi: 0.250 0.089 0.179
Bi: 0.750 0.411 0.679
Bi: 0.250 0.589 0.321
Ir: 0.250 0.321 0.940
Ir: 0.250 0.821 0.560
Ir: 0.750 0.179 0.440
Ir: 0.750 0.679 0.060

Results
crystal system = orthorhombic
formation enthalpy at 0 K = -0.829 eV/atom

---

Entry 3:
Material: Mn2BeTc
Method: DFT, PBE
State: relaxed

Cell lengths 2.708, 2.708, 5.961 Å; angles 90.00, 90.00, 90.00 degrees
Element x y z (fractional)
Be: 0.500 0.500 0.778
Mn: 0.000 0.000 0.990
Mn: 0.500 0.500 0.213
Tc: 0.000 0.000 0.519

Results
crystal system = tetragonal
formation enthalpy at 0 K = -0.032 eV/atom

---

Entry 4:
Material: ZrBrCl2
Method: DFT, PBE
State: relaxed

Cell lengths 11.377, 11.377, 11.377 Å; angles 16.76, 16.76, 16.76 degrees
Element x y z (fractional)
Br: 0.000 0.000 0.000
Zr: 0.500 0.500 0.500
Cl: 0.887 0.887 0.887
Cl: 0.113 0.113 0.113

Results
formation energy from raw total energies = -101.8 kJ per mole of atoms
crystal system = trigonal

---

Entry 5:
Material: AcPr2RuN4
Method: DFT, PBE
State: relaxed

Cell lengths 3.604, 6.415, 12.237 Å; angles 90.00, 90.00, 106.32 degrees
Element x y z (fractional)
Ac: 0.112 0.224 0.750
Ac: 0.888 0.776 0.250
Pr: 0.368 0.736 0.543
Pr: 0.632 0.264 0.043
Pr: 0.632 0.264 0.457
Pr: 0.368 0.736 0.957
Ru: 0.845 0.690 0.750
Ru: 0.155 0.310 0.250
N: 0.271 0.541 0.132
N: 0.729 0.459 0.632
N: 0.729 0.459 0.868
N: 0.271 0.541 0.368
N: 0.000 0.000 0.500
N: 0.000 0.000 0.000
N: 0.420 0.839 0.750
N: 0.580 0.161 0.250

Results
formation energy from raw total energies = -77.2 kJ per mole of atoms
crystal system = orthorhombic

---

Entry 6:
Material: Cs3CrCl6
Method: DFT, PBE
State: relaxed

Cell lengths 8.181, 8.181, 8.181 Å; angles 86.35, 122.13, 122.13 degrees
Each line ends with the local moment (μB).
Element x y z (fractional)
Cs: 0.500 0.750 0.250  0.00
Cs: 0.000 0.500 0.500  0.00
Cs: 0.500 0.250 0.750  0.00
Cr: 0.000 0.000 0.000  2.86
Cl: 0.705 0.705 0.000  -0.02
Cl: 0.705 0.000 0.705  -0.02
Cl: 0.295 0.000 0.295  -0.02
Cl: 0.295 0.295 0.000  -0.02
Cl: 0.000 0.793 0.793  -0.02
Cl: 0.000 0.207 0.207  -0.02

Results
formation energy from raw total energies = -155.6 kJ per mole of atoms
crystal system = tetragonal

---

Entry 7:
Material: KCaSN2
Method: DFT, PBE
State: relaxed

Cell lengths 4.848, 4.848, 5.475 Å; angles 90.00, 90.00, 90.00 degrees
Each line ends with the local moment (μB).
Element x y z (fractional)
S: 0.000 0.000 0.500  0.40
Ca: 0.000 0.000 0.000  0.01
K: 0.500 0.500 0.500  0.01
N: 0.000 0.500 0.000  1.40
N: 0.500 0.000 0.000  1.40

Results
formation energy from raw total energies = 67.2 kJ per mole of atoms
crystal system = tetragonal

---

Entry 8:
Material: Zr3SnMo
Method: DFT, PBE
State: relaxed

Cell lengths 5.190, 5.190, 5.190 Å; angles 90.00, 90.00, 90.00 degrees
Element x y z (fractional)
Mo: 0.500 0.500 0.500
Sn: 0.000 0.000 0.000
Zr: 0.000 0.500 0.000
Zr: 0.000 0.000 0.500
Zr: 0.500 0.000 0.000

Results
crystal system = cubic
formation enthalpy at 0 K = 1.441 eV/atom

---

Quick rundown of calculated density, same order as above: 5.19 8.53 8.24 3.76 8.14 2.95 1.80 5.80 g cm⁻³
Quick rundown of electronic total energy, same order as above: -4.202 -6.334 -8.140 -4.534 -7.831 -3.939 -4.079 -6.655 eV per atom